LaY2Ga2Ni4 (PBE, relaxed); E = -51.24 eV/cell; calculated volume = 18.569 Å³/atom; magnetic moment = 0.0 μB/f.u.
1.0
4.979 -2.083 0.000
4.979 2.083 0.000
-1.168 0.000 8.056
La Y Ga Ni
1 2 2 4
direct
0.000 0.000 0.000 La
0.374 0.374 0.615 Y
0.626 0.626 0.385 Y
0.322 0.322 0.223 Ga
0.678 0.678 0.777 Ga
0.084 0.084 0.630 Ni
0.262 0.262 0.913 Ni
0.738 0.738 0.087 Ni
0.916 0.916 0.370 Ni

---

LuFeHgAs (PBE, relaxed); E = -18.25 eV/cell; calculated volume = 19.265 Å³/atom; magnetic moment = 2.1 μB/f.u.
1.0
0.000 3.378 3.378
3.378 0.000 3.378
3.378 3.378 0.000
Lu Fe Hg As
1 1 1 1
direct
0.000 0.000 0.000 Lu
0.500 0.500 0.500 Fe
0.750 0.750 0.750 Hg
0.250 0.250 0.250 As

---

NaNdAg3Te4 (PBE, relaxed); E = -31.57 eV/cell; calculated volume = 34.957 Å³/atom; magnetic moment = 0.1 μB/f.u.
1.0
6.801 0.000 0.000
0.000 6.801 0.000
0.000 0.000 6.801
Na Nd Ag Te
1 1 3 4
direct
0.000 0.000 0.000 Na
0.500 0.500 0.500 Nd
0.000 0.500 0.500 Ag
0.500 0.000 0.500 Ag
0.500 0.500 0.000 Ag
0.250 0.250 0.250 Te
0.250 0.750 0.750 Te
0.750 0.250 0.750 Te
0.750 0.750 0.250 Te

---

SrCuNiAs (PBE, relaxed); E = -15.59 eV/cell; calculated volume = 17.969 Å³/atom; magnetic moment = 0.0 μB/f.u.
1.0
0.000 3.300 3.300
3.300 0.000 3.300
3.300 3.300 0.000
Sr Cu Ni As
1 1 1 1
direct
0.000 0.000 0.000 Sr
0.250 0.250 0.250 Cu
0.750 0.750 0.750 Ni
0.500 0.500 0.500 As

---

La3AlCoS7 (PBE, relaxed); E = -148.63 eV/cell; calculated volume = 22.214 Å³/atom; magnetic moment = 1.5 μB/f.u.
1.0
10.151 0.000 0.000
-5.076 8.791 0.000
0.000 0.000 5.974
La Al Co S
6 2 2 14
direct
0.140 0.371 0.000 La
0.231 0.860 0.000 La
0.371 0.231 0.500 La
0.629 0.769 0.000 La
0.769 0.140 0.500 La
0.860 0.629 0.500 La
0.333 0.667 0.422 Al
0.667 0.333 0.922 Al
0.000 0.000 0.292 Co
0.000 0.000 0.792 Co
0.083 0.219 0.544 S
0.099 0.581 0.278 S
0.135 0.917 0.544 S
0.219 0.135 0.044 S
0.333 0.667 0.792 S
0.419 0.518 0.278 S
0.482 0.901 0.278 S
0.518 0.099 0.778 S
0.581 0.482 0.778 S
0.667 0.333 0.292 S
0.781 0.865 0.544 S
0.865 0.083 0.044 S
0.901 0.419 0.778 S
0.917 0.781 0.044 S

---

TbSc (PBE, relaxed); calculated volume = 29.314 Å³/atom; E_form = 0.760 eV/atom; magnetic moment = 1.4 μB/f.u.
1.0
0.000 3.083 3.083
3.083 0.000 3.083
3.083 3.083 0.000
Tb Sc
1 1
direct
0.000 0.000 0.000 Tb
0.500 0.500 0.500 Sc

---

SmAlGeAu2 (PBE, relaxed); E = -45.97 eV/cell; calculated volume = 20.401 Å³/atom; magnetic moment = 0.0 μB/f.u.
1.0
4.302 0.000 0.000
0.000 4.302 0.000
0.000 0.000 11.025
Sm Al Ge Au
2 2 2 4
direct
0.250 0.250 0.239 Sm
0.750 0.750 0.761 Sm
0.250 0.750 0.500 Al
0.750 0.250 0.500 Al
0.250 0.250 0.857 Ge
0.750 0.750 0.143 Ge
0.250 0.250 0.629 Au
0.250 0.750 0.000 Au
0.750 0.250 0.000 Au
0.750 0.750 0.371 Au

---

HoEr2Co9 (PBE, relaxed); calculated volume = 14.086 Å³/atom; E_form = -0.200 eV/atom; magnetic moment = 10.5 μB/f.u.
1.0
2.461 1.421 8.056
-2.461 1.421 8.056
0.000 -2.842 8.056
Ho Er Co
1 2 9
direct
0.000 0.000 0.000 Ho
0.140 0.140 0.140 Er
0.860 0.860 0.860 Er
0.080 0.583 0.583 Co
0.334 0.334 0.334 Co
0.417 0.417 0.920 Co
0.417 0.920 0.417 Co
0.500 0.500 0.500 Co
0.583 0.080 0.583 Co
0.583 0.583 0.080 Co
0.666 0.666 0.666 Co
0.920 0.417 0.417 Co

---

TmTaF7 (PBE, relaxed); E = -119.19 eV/cell; calculated volume = 10.992 Å³/atom; magnetic moment = 1.0 μB/f.u.
1.0
4.609 0.000 0.000
0.000 6.816 0.000
-0.461 0.000 6.298
Tm Ta F
2 2 14
direct
0.038 0.250 0.318 Tm
0.962 0.750 0.682 Tm
0.482 0.250 0.787 Ta
0.518 0.750 0.213 Ta
0.148 0.250 0.967 F
0.187 0.070 0.621 F
0.187 0.430 0.621 F
0.281 0.505 0.215 F
0.281 0.995 0.215 F
0.332 0.750 0.910 F
0.385 0.750 0.515 F
0.615 0.250 0.485 F
0.668 0.250 0.090 F
0.719 0.005 0.785 F
0.719 0.495 0.785 F
0.813 0.570 0.379 F
0.813 0.930 0.379 F
0.852 0.750 0.033 F

---

Sm2Dy2CI3Cl2 (PBE, relaxed); E = -49.45 eV/cell; calculated volume = 29.269 Å³/atom; magnetic moment = 0.4 μB/f.u.
1.0
8.895 -1.966 0.000
8.895 1.966 0.000
-1.920 0.000 8.367
Sm Dy C I Cl
2 2 1 3 2
direct
0.142 0.142 0.068 Sm
0.858 0.858 0.932 Sm
0.497 0.497 0.189 Dy
0.503 0.503 0.811 Dy
0.000 0.000 0.000 C
0.000 0.000 0.500 I
0.330 0.330 0.649 I
0.670 0.670 0.351 I
0.334 0.334 0.154 Cl
0.666 0.666 0.846 Cl

---

Li3OsO4 (PBE, relaxed); E = -49.39 eV/cell; calculated volume = 8.820 Å³/atom; magnetic moment = 2.0 μB/f.u.
1.0
4.863 -1.472 0.000
4.863 1.472 0.000
-1.057 0.000 4.929
Li Os O
3 1 4
direct
0.000 0.000 0.000 Li
0.254 0.254 0.774 Li
0.746 0.746 0.226 Li
0.500 0.500 0.500 Os
0.120 0.120 0.385 O
0.381 0.381 0.144 O
0.619 0.619 0.856 O
0.880 0.880 0.615 O

---

Cu13Ag7 (PBE, relaxed); calculated volume = 13.847 Å³/atom; E_form = 0.096 eV/atom
1.0
4.664 0.000 0.000
0.039 7.123 0.000
1.579 1.015 8.336
Cu Ag
13 7
direct
0.000 0.000 0.000 Cu
0.029 0.466 0.365 Cu
0.098 0.912 0.716 Cu
0.244 0.249 0.755 Cu
0.285 0.720 0.100 Cu
0.333 0.160 0.462 Cu
0.388 0.622 0.811 Cu
0.443 0.044 0.147 Cu
0.491 0.508 0.520 Cu
0.535 0.948 0.858 Cu
0.628 0.853 0.567 Cu
0.754 0.758 0.250 Cu
0.828 0.677 0.961 Cu
0.133 0.372 0.053 Ag
0.209 0.808 0.405 Ag
0.569 0.421 0.222 Ag
0.683 0.298 0.910 Ag
0.788 0.198 0.605 Ag
0.882 0.101 0.299 Ag
0.944 0.565 0.667 Ag

---

GdMgZn (PBE, relaxed); E = -22.65 eV/cell; calculated volume = 23.285 Å³/atom; magnetic moment = 0.0 μB/f.u.
1.0
4.841 0.000 0.000
-2.421 4.193 0.000
0.000 0.000 10.324
Gd Mg Zn
3 3 3
direct
0.000 0.000 0.000 Gd
0.000 0.000 0.382 Gd
0.333 0.667 0.230 Gd
0.000 0.000 0.696 Mg
0.667 0.333 0.148 Mg
0.667 0.333 0.543 Mg
0.333 0.667 0.528 Zn
0.333 0.667 0.852 Zn
0.667 0.333 0.853 Zn

---

Al2IrOs (PBE, relaxed); E = -118.61 eV/cell; calculated volume = 14.282 Å³/atom; magnetic moment = 0.0 μB/f.u.
1.0
5.477 0.000 0.000
0.000 7.564 0.000
0.000 0.000 5.516
Al Ir Os
8 4 4
direct
0.249 0.023 0.000 Al
0.249 0.477 0.000 Al
0.251 0.523 0.500 Al
0.251 0.977 0.500 Al
0.749 0.023 0.500 Al
0.749 0.477 0.500 Al
0.751 0.523 0.000 Al
0.751 0.977 0.000 Al
0.064 0.250 0.308 Ir
0.436 0.750 0.808 Ir
0.564 0.250 0.192 Ir
0.936 0.750 0.692 Ir
0.059 0.750 0.190 Os
0.441 0.250 0.690 Os
0.559 0.750 0.310 Os
0.941 0.250 0.810 Os

---

KNiTeAuSe2 (PBE, relaxed); E = -43.88 eV/cell; calculated volume = 26.279 Å³/atom; magnetic moment = 0.0 μB/f.u.
1.0
1.797 -8.328 0.000
1.797 8.328 0.000
0.000 0.000 10.536
K Ni Te Au Se
2 2 2 2 4
direct
0.232 0.768 0.750 K
0.768 0.232 0.250 K
0.500 0.500 0.000 Ni
0.500 0.500 0.500 Ni
0.448 0.552 0.250 Te
0.552 0.448 0.750 Te
0.105 0.895 0.250 Au
0.895 0.105 0.750 Au
0.098 0.902 0.016 Se
0.098 0.902 0.484 Se
0.902 0.098 0.516 Se
0.902 0.098 0.984 Se

---

As2WAu (PBE, relaxed); E = -22.53 eV/cell; calculated volume = 17.483 Å³/atom; magnetic moment = 0.0 μB/f.u.
1.0
0.000 3.270 3.270
3.270 0.000 3.270
3.270 3.270 0.000
As W Au
2 1 1
direct
0.000 0.000 0.000 As
0.250 0.250 0.250 As
0.500 0.500 0.500 W
0.750 0.750 0.750 Au

---

ReIr3 (PBE, relaxed); calculated volume = 14.552 Å³/atom; E_form = -0.116 eV/atom; magnetic moment = 0.0 μB/f.u.
1.0
2.743 -9.536 0.000
2.743 9.536 0.000
0.000 0.000 8.903
Re Ir
8 24
direct
0.040 0.960 0.750 Re
0.207 0.793 0.250 Re
0.377 0.623 0.501 Re
0.377 0.623 0.999 Re
0.623 0.377 0.001 Re
0.623 0.377 0.499 Re
0.793 0.207 0.750 Re
0.960 0.040 0.250 Re
0.000 0.500 0.000 Ir
0.000 0.500 0.500 Ir
0.083 0.417 0.250 Ir
0.127 0.873 0.502 Ir
0.127 0.873 0.998 Ir
0.162 0.328 0.750 Ir
0.249 0.249 0.000 Ir
0.249 0.249 0.500 Ir
0.290 0.710 0.750 Ir
0.328 0.162 0.250 Ir
0.417 0.083 0.750 Ir
0.455 0.545 0.250 Ir
0.500 0.000 0.000 Ir
0.500 0.000 0.500 Ir
0.545 0.455 0.750 Ir
0.583 0.917 0.250 Ir
0.672 0.838 0.750 Ir
0.710 0.290 0.250 Ir
0.751 0.751 0.000 Ir
0.751 0.751 0.500 Ir
0.838 0.672 0.250 Ir
0.873 0.127 0.002 Ir
0.873 0.127 0.498 Ir
0.917 0.583 0.750 Ir

---

TbHoZr2P2 (PBE, relaxed); E = -43.40 eV/cell; calculated volume = 20.847 Å³/atom; magnetic moment = 0.0 μB/f.u.
1.0
-2.008 2.008 7.756
2.008 -2.008 7.756
2.008 2.008 -7.756
Tb Ho Zr P
1 1 2 2
direct
0.000 0.000 0.000 Tb
0.357 0.357 0.000 Ho
0.179 0.679 0.500 Zr
0.679 0.179 0.500 Zr
0.547 0.547 0.000 P
0.810 0.810 0.000 P

---

HoAlInNi (PBE, relaxed); E = -37.40 eV/cell; calculated volume = 19.123 Å³/atom; magnetic moment = 0.0 μB/f.u.
1.0
2.105 -5.109 0.000
2.105 5.109 0.000
0.000 0.000 7.114
Ho Al In Ni
2 2 2 2
direct
0.068 0.932 0.500 Ho
0.932 0.068 0.000 Ho
0.343 0.657 0.707 Al
0.657 0.343 0.207 Al
0.364 0.636 0.311 In
0.636 0.364 0.811 In
0.214 0.786 0.014 Ni
0.786 0.214 0.514 Ni

---

LaHo2In3 (PBE, relaxed); E = -25.17 eV/cell; calculated volume = 27.574 Å³/atom; magnetic moment = 0.0 μB/f.u.
1.0
3.773 0.000 0.000
0.000 3.773 0.000
0.000 0.000 11.623
La Ho In
1 2 3
direct
0.000 0.000 0.000 La
0.000 0.000 0.341 Ho
0.000 0.000 0.659 Ho
0.500 0.500 0.184 In
0.500 0.500 0.500 In
0.500 0.500 0.816 In

---

RbTa (PBE, relaxed); E = -5.91 eV/cell; calculated volume = 74.863 Å³/atom; magnetic moment = 4.0 μB/f.u.
1.0
0.000 4.215 4.215
4.215 0.000 4.215
4.215 4.215 0.000
Rb Ta
1 1
direct
0.000 0.000 0.000 Rb
0.750 0.750 0.750 Ta

---

Nd2BiN (PBE, relaxed); E = -53.16 eV/cell; calculated volume = 26.200 Å³/atom; magnetic moment = 0.0 μB/f.u.
1.0
4.726 0.000 0.000
0.000 4.726 0.000
0.000 0.000 9.386
Nd Bi N
4 2 2
direct
0.250 0.250 0.176 Nd
0.250 0.750 0.500 Nd
0.750 0.250 0.500 Nd
0.750 0.750 0.824 Nd
0.250 0.250 0.806 Bi
0.750 0.750 0.194 Bi
0.250 0.250 0.418 N
0.750 0.750 0.582 N